Entry 1:
A plane-wave DFT calculation with PBE-GGA was carried out for Tb3Dy6YSc2 after structural relaxation.

Output
Fermi-level density of states, states/eV/cell: 17.2
ΔH_f (0 K), eV/atom: 0.04

Unit cell a=6.074 b=6.074 c=11.582 alpha=95.00 beta=95.00 gamma=119.95
Positions (direct):
Tb1 0.000 0.000 0.000
Tb2 0.333 0.667 0.000
Tb3 0.667 0.333 0.000
Dy1 0.082 0.418 0.255
Dy2 0.245 0.245 0.744
Dy3 0.418 0.082 0.255
Dy4 0.582 0.918 0.745
Dy5 0.755 0.755 0.256
Dy6 0.918 0.582 0.745
Y1 0.500 0.500 0.500
Sc1 0.167 0.833 0.500
Sc2 0.833 0.167 0.500

Entry 2:
A plane-wave DFT calculation with PBE-GGA was carried out for Tb6Dy3YSc2 after structural relaxation.

Output
Fermi-level density of states, states/eV/cell: 16.7
ΔH_f (0 K), eV/atom: 0.04

Unit cell a=6.084 b=6.084 c=11.582 alpha=95.01 beta=95.01 gamma=119.95
Positions (direct):
Tb1 0.081 0.418 0.755
Tb2 0.245 0.245 0.245
Tb3 0.418 0.081 0.755
Tb4 0.582 0.919 0.245
Tb5 0.755 0.755 0.755
Tb6 0.919 0.582 0.245
Dy1 0.000 0.000 0.500
Dy2 0.333 0.667 0.500
Dy3 0.667 0.333 0.500
Y1 0.500 0.500 0.000
Sc1 0.167 0.833 0.000
Sc2 0.833 0.167 0.000

Entry 3:
A plane-wave DFT calculation with PBE-GGA was carried out for TbDyY5Sc2 after structural relaxation.

Output
Fermi-level density of states, states/eV/cell: 29.4
ΔH_f (0 K), eV/atom: 0.17

Unit cell a=11.043 b=11.043 c=9.388 alpha=90.00 beta=90.00 gamma=150.57
Positions (direct):
Tb1 0.184 0.816 0.500
Tb2 0.816 0.184 0.000
Dy1 0.401 0.599 0.100
Dy2 0.599 0.401 0.600
Y1 0.011 0.989 0.505
Y2 0.264 0.736 0.182
Y3 0.306 0.694 0.803
Y4 0.388 0.612 0.473
Y5 0.469 0.531 0.771
Y6 0.531 0.469 0.271
Y7 0.612 0.388 0.973
Y8 0.694 0.306 0.303
Y9 0.736 0.264 0.682
Y10 0.989 0.011 0.005
Sc1 0.113 0.887 0.195
Sc2 0.134 0.866 0.815
Sc3 0.866 0.134 0.315
Sc4 0.887 0.113 0.695

Entry 4:
A plane-wave DFT calculation with PBE-GGA was carried out for Tb3Dy2Y6Sc after structural relaxation.

Output
Fermi-level density of states, states/eV/cell: 17.6
ΔH_f (0 K), eV/atom: 0.03

Unit cell a=6.129 b=6.129 c=11.728 alpha=94.98 beta=94.98 gamma=119.95
Positions (direct):
Tb1 0.000 0.000 0.000
Tb2 0.334 0.666 0.000
Tb3 0.666 0.334 0.000
Dy1 0.167 0.833 0.500
Dy2 0.833 0.167 0.500
Y1 0.087 0.418 0.253
Y2 0.251 0.251 0.747
Y3 0.418 0.087 0.253
Y4 0.582 0.913 0.747
Y5 0.749 0.749 0.253
Y6 0.913 0.582 0.747
Sc1 0.500 0.500 0.500

Among the records above, which one has the highest Fermi-level density of states? TbDyY5Sc2

Number 2 is which compound? Tb6Dy3YSc2

Look up the ΔH_f (0 K) of the first one. 0.04 eV/atom

What is the formula in the second record? Tb6Dy3YSc2